This record from Alexandria via LeMat-Bulk describes MgZrZnAg after structural relaxation. The functional is PBE.

Computed properties:
- space group = F-43m
- formation enthalpy at 0 K (eV/f.u.) = -0.72
- size of the total moment (μB/cell) = 0.0

```
MgZrZnAg
1.0
0.0000 3.3406 3.3406
3.3406 0.0000 3.3406
3.3406 3.3406 0.0000
Mg Zr Zn Ag
1 1 1 1
direct
0.0000 0.0000 0.0000
0.5000 0.5000 0.5000
0.7500 0.7500 0.7500
0.2500 0.2500 0.2500
```